1.
Entry from the Alexandria database: a PBEsol-optimized structure of BaAsPb2 (SCAN).

Summary:
DFT formation energy	-0.25	eV per atom

abc: 4.063 4.063 7.255
angles: 90.00 90.00 90.00
Space group P4/mmm (No. 123)
Symmetry-distinct sites (fractional):
1 Ba 0.000 0.000 0.000
2 As 0.000 0.000 0.500
3 Pb 0.500 0.500 0.301

2.
Entry from the Alexandria database: a PBEsol-optimized structure of BaAs2PbSe (SCAN).

Summary:
ΔE_f (raw)	-0.1576	eV per atom

abc: 5.332 5.332 5.543
angles: 90.00 90.00 90.00
Space group P4/mmm (No. 123)
Symmetry-distinct sites (fractional):
1 Ba 0.000 0.000 0.000
2 As 0.000 0.500 0.500
3 Pb 0.500 0.500 0.500
4 Se 0.500 0.500 0.000

3.
Entry from the Alexandria database: a PBEsol-optimized structure of BaAsPd3 (SCAN).

Summary:
DFT formation energy	-0.57	eV per atom

abc: 4.787 4.787 4.787
angles: 90.00 90.00 90.00
Space group Pm-3m (No. 221)
Symmetry-distinct sites (fractional):
1 Ba 0.000 0.000 0.000
2 As 0.500 0.500 0.500
3 Pd 0.000 0.500 0.500

4.
Entry from the Alexandria database: a PBEsol-optimized structure of BaAsPt3 (SCAN).

Summary:
DFT formation energy	-0.41	eV per atom

abc: 4.797 4.797 4.797
angles: 90.00 90.00 90.00
Space group Pm-3m (No. 221)
Symmetry-distinct sites (fractional):
1 Ba 0.000 0.000 0.000
2 As 0.500 0.500 0.500
3 Pt 0.000 0.500 0.500

5.
Entry from the Alexandria database: a PBEsol-optimized structure of RbBaAs2Se (SCAN).

Summary:
ΔE_f (raw)	0.1127	eV per atom

abc: 5.885 5.885 6.039
angles: 90.00 90.00 90.00
Space group P4/mmm (No. 123)
Symmetry-distinct sites (fractional):
1 Rb 0.000 0.000 0.000
2 Ba 0.500 0.500 0.500
3 As 0.000 0.500 0.500
4 Se 0.500 0.500 0.000

6.
Entry from the Alexandria database: a PBEsol-optimized structure of RbBaZrAs2 (SCAN).

Summary:
DFT formation energy	1.24	eV per atom

abc: 5.599 5.599 5.639
angles: 90.00 90.00 90.00
Space group P4/mmm (No. 123)
Symmetry-distinct sites (fractional):
1 Rb 0.000 0.000 0.000
2 Ba 0.000 0.000 0.500
3 Zr 0.500 0.500 0.500
4 As 0.000 0.500 0.000

Quick rundown of V, same order as above: 119.7 157.6 109.7 110.4 209.1 176.8 Å³ per cell
Quick rundown of DOS at the Fermi energy, same order as above: 2.08 6.24 3.65 5.11 4.15 4.39 states/eV/cell